No. 1
Ti3In3Ag2 | GGA-PBE | relaxed

Cell: 4.3314 4.2758 8.6815 Å, 104.26 104.45 90.00°
Fractional coordinates of all 8 atoms:
In 0.6314 0.6314 0.2628
In 0.5000 0.0000 0.0000
In 0.3686 0.3686 0.7372
Ti 0.1251 0.1251 0.2501
Ti 0.0000 0.5000 0.0000
Ti 0.8749 0.8749 0.7499
Ag 0.2486 0.7486 0.4972
Ag 0.7514 0.2514 0.5028

Calculated values
space group = Immm
VASP energy = -38.19 eV per cell
N(E_F) = 6.100 states/eV/f.u.
calculated formation energy = -0.0734 eV per atom



No. 2
TiIn2Ag | GGA-PBE | relaxed

Cell: 3.1334 3.1334 9.7039 Å, 80.71 80.71 60.00°
Fractional coordinates of all 4 atoms:
Ti 0.5004 0.5004 0.4987
In 0.2496 0.2496 0.2511
In 0.0837 0.0837 0.7488
Ag 0.6662 0.6662 0.0014

Calculated values
energy relative to the lowest polymorph listed for this composition = 0.094 eV/atom
space group = R3m
VASP energy = -16.19 eV per cell
N(E_F) = 2.822 states/eV/f.u.
calculated formation energy = 0.0089 eV per atom



No. 3
TiInAg2 | GGA-PBE | relaxed

Cell: 7.6266 7.6266 6.1099 Å, 51.38 51.38 90.00°
Site moments in Bohr magnetons follow the coordinates.
Fractional coordinates of all 8 atoms:
In 0.0000 0.0000 0.0000  0.01
In 0.7500 0.2500 0.5000  0.01
Ag 0.8750 0.8693 0.7500  0.03
Ag 0.3750 0.3807 0.7500  0.03
Ag 0.1307 0.6250 0.2500  0.03
Ag 0.6193 0.1250 0.2500  0.03
Ti 0.2500 0.7500 0.5000  0.80
Ti 0.5000 0.5000 0.0000  0.80

Calculated values
space group = I-42d
VASP energy = -29.81 eV per cell
N(E_F) = 3.984 states/eV/f.u.
calculated formation energy = 0.3577 eV per atom